Below is a geometry-optimized Rb2LuAgCl6 structure, with properties calculated at the GGA-PBE level.

Cell: 7.532 7.532 7.532 Å, 60.00 60.00 60.00°
Fractional positions:
1 Ag 0.500 0.500 0.500
2 Lu 0.000 0.000 0.000
3 Rb 0.250 0.250 0.250
4 Cl 0.242 0.758 0.758
5 Cl 0.758 0.242 0.758
6 Rb 0.750 0.750 0.750
7 Cl 0.758 0.758 0.242
8 Cl 0.758 0.242 0.242
9 Cl 0.242 0.758 0.242
10 Cl 0.242 0.242 0.758

Values from the calculation:
total energy: -3.855 eV per atom
uncorrected formation energy: -1.816 eV per atom
space group: Fm-3m, No. 225